Computed, not measured: a relaxed structure of Tb2Dy3Ni2 at the PBE-GGA level of DFT.

Calculated values
Symmetry = C2/m
Density = 8.73 g/cm³
Energy of formation = -0.251 eV per atom

a b c (Å): 6.321 6.321 8.958
angles (deg): 115.26 115.26 33.22
Fractional coordinates of all 7 atoms:
Tb: 0.166 0.166 0.310
Tb: 0.834 0.834 0.690
Dy: 0.384 0.384 0.067
Dy: 0.500 0.500 0.500
Dy: 0.616 0.616 0.933
Ni: 0.172 0.172 0.738
Ni: 0.828 0.828 0.262

=====

Computed, not measured: a relaxed structure of Dy8TcNi2 at the PBE-GGA level of DFT.

Calculated values
Offset from the most stable computed form = 0.071 eV per atom
Symmetry = Cm
Density = 8.91 g/cm³
Energy of formation = -0.088 eV per atom

a b c (Å): 7.522 7.522 5.777
angles (deg): 99.84 99.84 114.45
Fractional coordinates of all 11 atoms:
Dy: 0.000 0.000 0.000
Dy: 0.027 0.280 0.573
Dy: 0.139 0.572 0.173
Dy: 0.280 0.027 0.573
Dy: 0.438 0.689 0.762
Dy: 0.572 0.139 0.173
Dy: 0.689 0.438 0.762
Dy: 0.722 0.722 0.355
Tc: 0.363 0.363 0.279
Ni: 0.056 0.667 0.678
Ni: 0.667 0.056 0.678

=====

Computed, not measured: a relaxed structure of Dy8TcNi2 at the PBE-GGA level of DFT.

Calculated values
Offset from the most stable computed form = 0.000 eV per atom
Symmetry = C2/m
Density = 9.23 g/cm³
Energy of formation = -0.159 eV per atom

a b c (Å): 8.879 8.879 6.694
angles (deg): 106.46 106.46 32.75
Fractional coordinates of all 11 atoms:
Dy: 0.034 0.034 0.295
Dy: 0.198 0.198 0.820
Dy: 0.329 0.329 0.525
Dy: 0.407 0.407 0.051
Dy: 0.593 0.593 0.949
Dy: 0.671 0.671 0.475
Dy: 0.802 0.802 0.180
Dy: 0.966 0.966 0.705
Tc: 0.500 0.500 0.500
Ni: 0.187 0.187 0.207
Ni: 0.813 0.813 0.793

=====

Computed, not measured: a relaxed structure of Dy8Tc2Ni at the PBE-GGA level of DFT.

Calculated values
Symmetry = Cm
Density = 8.85 g/cm³
Energy of formation = -0.050 eV per atom

a b c (Å): 7.605 7.605 5.934
angles (deg): 101.83 101.83 113.61
Fractional coordinates of all 11 atoms:
Dy: 0.000 0.000 0.000
Dy: 0.000 0.268 0.583
Dy: 0.143 0.551 0.179
Dy: 0.268 0.000 0.583
Dy: 0.435 0.691 0.793
Dy: 0.551 0.143 0.179
Dy: 0.691 0.435 0.793
Dy: 0.723 0.723 0.393
Tc: 0.057 0.673 0.725
Tc: 0.673 0.057 0.725
Ni: 0.369 0.369 0.025

=====

Computed, not measured: a relaxed structure of Dy6TcNi2 at the PBE-GGA level of DFT.

Calculated values
Symmetry = Immm
Density = 9.32 g/cm³
Energy of formation = -0.202 eV per atom

a b c (Å): 8.200 8.200 8.200
angles (deg): 110.62 109.82 107.98
Fractional coordinates of all 18 atoms:
Dy: 0.021 0.828 0.194
Dy: 0.259 0.324 0.583
Dy: 0.259 0.676 0.935
Dy: 0.263 0.576 0.314
Dy: 0.263 0.949 0.686
Dy: 0.366 0.172 0.194
Dy: 0.634 0.828 0.806
Dy: 0.737 0.051 0.314
Dy: 0.737 0.424 0.686
Dy: 0.741 0.324 0.065
Dy: 0.741 0.676 0.417
Dy: 0.979 0.172 0.806
Tc: 0.000 0.500 0.500
Tc: 0.500 0.000 0.500
Ni: 0.000 0.158 0.158
Ni: 0.000 0.842 0.842
Ni: 0.382 0.382 0.000
Ni: 0.618 0.618 0.000

=====

Computed, not measured: a relaxed structure of DyTiTcNi at the PBE-GGA level of DFT.

Calculated values
Symmetry = F-43m
Density = 9.08 g/cm³
Energy of formation = -0.210 eV per atom

a b c (Å): 4.562 4.562 4.562
angles (deg): 60.00 60.00 60.00
Fractional coordinates of all 4 atoms:
Dy: 0.000 0.000 0.000
Ti: 0.500 0.500 0.500
Tc: 0.750 0.750 0.750
Ni: 0.250 0.250 0.250